PaTi2 | PBE-GGA | optimized geometry

abc: 5.5053 5.5053 5.5053
angles: 60.00 60.00 60.00
Closest atoms and distances in Å follow each position.
Fractional coordinates of all 6 atoms:
Pa 0.1250 0.1250 0.1250  12 Ti 3.23, 4 Pa 3.37
Pa 0.8750 0.8750 0.8750  12 Ti 3.23, 4 Pa 3.37
Ti 0.0000 0.5000 0.5000  6 Ti 2.75
Ti 0.5000 0.0000 0.5000  6 Ti 2.75
Ti 0.5000 0.5000 0.0000  6 Ti 2.75
Ti 0.5000 0.5000 0.5000  6 Ti 2.75

* calculated volume: 19.7 Å³/atom
* energy of formation: 0.394 eV/f.u.
* excess energy over the best structure of this formula in the dataset: 56 meV/atom
* symmetry: Fd-3m

Nd5Y3Th2 | PBE-GGA | optimized geometry

abc: 9.2646 9.2646 10.0231
angles: 109.20 109.20 106.75
Closest atoms and distances in Å follow each position.
Fractional coordinates of all 20 atoms:
Nd 0.0148 0.9852 0.7500  1 Nd 3.09, 2 Th 3.30
Nd 0.1243 0.3793 0.7502  3 Y 3.48-3.75, 3 Nd 3.50-3.55, 2 Th 3.78-3.80
Nd 0.2228 0.7772 0.7500  1 Nd 3.09, 2 Y 3.39
Nd 0.3793 0.1243 0.2502  3 Y 3.48-3.75, 3 Nd 3.50-3.55, 2 Th 3.78-3.80
Nd 0.4758 0.5242 0.2500  3 Y 3.09-3.37
Nd 0.5242 0.4758 0.7500  3 Y 3.09-3.37
Nd 0.6207 0.8757 0.7498  3 Y 3.48-3.75, 3 Nd 3.50-3.55, 2 Th 3.78-3.80
Nd 0.7772 0.2228 0.2500  1 Nd 3.09, 2 Y 3.39
Nd 0.8757 0.6207 0.2498  3 Y 3.48-3.75, 3 Nd 3.50-3.55, 2 Th 3.78-3.80
Nd 0.9852 0.0148 0.2500  1 Nd 3.09, 2 Th 3.30
Y 0.2247 0.4760 0.4471  1 Th 3.26, 5 Nd 3.37-3.63, 1 Y 3.57
Y 0.2681 0.7319 0.2500  1 Nd 3.09, 2 Th 3.33
Y 0.4760 0.2247 0.9471  1 Th 3.26, 5 Nd 3.37-3.63, 1 Y 3.57
Y 0.5240 0.7753 0.0529  1 Th 3.26, 5 Nd 3.37-3.63, 1 Y 3.57
Y 0.7319 0.2681 0.7500  1 Nd 3.09, 2 Th 3.33
Y 0.7753 0.5240 0.5529  1 Th 3.26, 5 Nd 3.37-3.63, 1 Y 3.57
Th 0.0294 0.2797 0.0570  3 Y 3.26-3.56, 4 Nd 3.30-3.60
Th 0.2797 0.0294 0.5570  3 Y 3.26-3.56, 4 Nd 3.30-3.60
Th 0.7203 0.9706 0.4430  3 Y 3.26-3.56, 4 Nd 3.30-3.60
Th 0.9706 0.7203 0.9430  3 Y 3.26-3.56, 4 Nd 3.30-3.60

* calculated volume: 34.4 Å³/atom
* energy of formation: 2.167 eV/f.u.
* symmetry: C2/c

Dy2Ho3Cd2 | PBE-GGA | optimized geometry

abc: 5.0589 22.6455 3.4479
angles: 90.00 90.00 90.00
Closest atoms and distances in Å follow each position.
Fractional coordinates of all 14 atoms:
Dy 0.0000 0.2103 0.0000  4 Dy 3.10-3.45, 1 Cd 3.21, 4 Ho 3.39
Dy 0.0000 0.7897 0.0000  4 Dy 3.10-3.45, 1 Cd 3.21, 4 Ho 3.39
Dy 0.5000 0.2897 0.0000  4 Dy 3.10-3.45, 1 Cd 3.21, 4 Ho 3.39
Dy 0.5000 0.7103 0.0000  4 Dy 3.10-3.45, 1 Cd 3.21, 4 Ho 3.39
Ho 0.0000 0.3536 0.5000  3 Ho 3.32-3.45, 6 Dy 3.39-3.67, 4 Cd 3.53
Ho 0.0000 0.5000 0.5000  4 Ho 3.32-3.45, 8 Cd 3.43
Ho 0.0000 0.6464 0.5000  3 Ho 3.32-3.45, 6 Dy 3.39-3.67, 4 Cd 3.53
Ho 0.5000 0.0000 0.5000  4 Ho 3.32-3.45, 8 Cd 3.43
Ho 0.5000 0.1464 0.5000  3 Ho 3.32-3.45, 6 Dy 3.39-3.67, 4 Cd 3.53
Ho 0.5000 0.8536 0.5000  3 Ho 3.32-3.45, 6 Dy 3.39-3.67, 4 Cd 3.53
Cd 0.0000 0.0686 0.0000  3 Cd 3.11-3.45, 1 Dy 3.21, 4 Ho 3.43
Cd 0.0000 0.9314 0.0000  3 Cd 3.11-3.45, 1 Dy 3.21, 4 Ho 3.43
Cd 0.5000 0.4314 0.0000  3 Cd 3.11-3.45, 1 Dy 3.21, 4 Ho 3.43
Cd 0.5000 0.5686 0.0000  3 Cd 3.11-3.45, 1 Dy 3.21, 4 Ho 3.43

* calculated volume: 28.2 Å³/atom
* energy of formation: -0.316 eV/f.u.
* excess energy over the best structure of this formula in the dataset: 107 meV/atom
* symmetry: Cmmm

Pr6DyTl5 | PBE-GGA | optimized geometry

abc: 7.9458 7.9458 6.3957
angles: 98.87 98.87 96.07
Closest atoms and distances in Å follow each position.
Fractional coordinates of all 12 atoms:
Pr 0.0386 0.4048 0.7283  5 Tl 3.25-3.64, 1 Pr 3.49
Pr 0.2150 0.2150 0.2094  5 Tl 3.26-3.52, 1 Dy 3.58
Pr 0.4048 0.0386 0.7283  5 Tl 3.25-3.64, 1 Pr 3.49
Pr 0.5952 0.9614 0.2717  5 Tl 3.25-3.64, 1 Pr 3.49
Pr 0.7850 0.7850 0.7906  5 Tl 3.26-3.52, 1 Dy 3.58
Pr 0.9614 0.5952 0.2717  5 Tl 3.25-3.64, 1 Pr 3.49
Dy 0.5000 0.5000 0.0000  6 Tl 3.38-3.55, 6 Pr 3.58-3.75
Tl 0.0000 0.0000 0.5000  6 Pr 3.26-3.28
Tl 0.2136 0.7864 0.0000  6 Pr 3.25-3.46, 1 Dy 3.38
Tl 0.3693 0.6307 0.5000  1 Tl 3.09, 2 Pr 3.31
Tl 0.6307 0.3693 0.5000  1 Tl 3.09, 2 Pr 3.31
Tl 0.7864 0.2136 0.0000  6 Pr 3.25-3.46, 1 Dy 3.38

* calculated volume: 32.6 Å³/atom
* energy of formation: -2.289 eV/f.u.
* excess energy over the best structure of this formula in the dataset: 112 meV/atom
* symmetry: C2/m

CdInSb | PBE-GGA | optimized geometry

abc: 3.3627 3.3627 8.0585
angles: 90.00 90.00 120.00
Closest atoms and distances in Å follow each position.
Fractional coordinates of all 3 atoms:
Cd 0.0000 0.0000 0.0000  3 Sb 3.26, 3 In 3.27, 6 Cd 3.36
In 0.6667 0.3333 0.3266  3 Cd 3.27, 6 In 3.36, 3 Sb 3.41
Sb 0.3333 0.6667 0.6744  3 Cd 3.26, 6 Sb 3.36, 3 In 3.41

* calculated volume: 26.3 Å³/atom
* raw formation energy: 0.109 eV/atom
* symmetry: P3m1

TaBeI2O | PBE-GGA | optimized geometry

abc: 5.7296 5.7296 3.0646
angles: 90.00 90.00 90.00
Closest atoms and distances in Å follow each position.
Fractional coordinates of all 5 atoms:
Ta 0.0000 0.0000 0.0000  2 Ta 3.06, 8 I 3.25
Be 0.5000 0.5000 0.5000  2 O 1.53
I 0.0000 0.5000 0.5000  2 Be 2.86, 2 I 3.06
I 0.5000 0.0000 0.5000  2 Be 2.86, 2 I 3.06
O 0.5000 0.5000 0.0000  2 Be 1.53

* calculated volume: 20.1 Å³/atom
* excess energy over the best structure of this formula in the dataset: 96 meV/atom
* raw formation energy: -0.020 eV/atom
* symmetry: P4/mmm

NaTaCl2 | PBE-GGA | optimized geometry

abc: 7.1221 7.1221 7.0780
angles: 90.00 90.00 90.00
Closest atoms and distances in Å follow each position.
Fractional coordinates of all 16 atoms:
Na 0.0000 0.0000 0.0000  4 Cl 2.88
Na 0.0000 0.5000 0.2500  4 Cl 2.88
Na 0.5000 0.0000 0.7500  4 Cl 2.88
Na 0.5000 0.5000 0.5000  4 Cl 2.88
Ta 0.0000 0.0000 0.5000  4 Cl 2.48
Ta 0.0000 0.5000 0.7500  4 Cl 2.48
Ta 0.5000 0.0000 0.2500  4 Cl 2.48
Ta 0.5000 0.5000 0.0000  4 Cl 2.48
Cl 0.2075 0.7500 0.6250  2 Ta 2.48
Cl 0.2500 0.2075 0.3750  2 Ta 2.48
Cl 0.2500 0.2925 0.8750  2 Ta 2.48
Cl 0.2925 0.7500 0.1250  2 Ta 2.48
Cl 0.7075 0.2500 0.1250  2 Ta 2.48
Cl 0.7500 0.7075 0.8750  2 Ta 2.48
Cl 0.7500 0.7925 0.3750  2 Ta 2.48
Cl 0.7925 0.2500 0.6250  2 Ta 2.48

* calculated volume: 22.4 Å³/atom
* excess energy over the best structure of this formula in the dataset: 552 meV/atom
* raw formation energy: -0.042 eV/atom
* symmetry: I-42d

LiSc | PBE-GGA | optimized geometry

abc: 10.8301 3.2422 5.2267
angles: 90.00 111.15 90.00
Closest atoms and distances in Å follow each position.
Fractional coordinates of all 8 atoms:
Li 0.1469 0.0000 0.3610  2 Li 2.72
Li 0.3531 0.5000 0.6390  2 Li 2.72
Li 0.6469 0.5000 0.3610  2 Li 2.72
Li 0.8531 0.0000 0.6390  2 Li 2.72
Sc 0.1109 0.5000 0.8342  7 Li 3.07-3.14, 5 Sc 3.24-3.43
Sc 0.3891 0.0000 0.1658  7 Li 3.07-3.14, 5 Sc 3.24-3.43
Sc 0.6109 0.0000 0.8342  7 Li 3.07-3.14, 5 Sc 3.24-3.43
Sc 0.8891 0.5000 0.1658  7 Li 3.07-3.14, 5 Sc 3.24-3.43

* calculated volume: 21.4 Å³/atom
* energy of formation: 0.396 eV/f.u.
* excess energy over the best structure of this formula in the dataset: 106 meV/atom
* symmetry: C2/m